Compound: LaZnSe
Source: Alexandria
Functional: SCAN
Structure: PBEsol geometry

Values from the calculation:
The calculation puts the polymorph energy (0 for the lowest one) at 103.1 meV per atom.

Cell: 6.890 6.890 6.890 Å, 90.00 90.00 90.00°
Space group F-43m (No. 216)
Symmetry-distinct sites (fractional):
La 0.000 0.000 0.000 [4 per cell]
Zn 0.000 0.000 0.500 [4 per cell]
Se 0.250 0.250 0.250 [4 per cell]

***

Compound: Zn2HBr
Source: Alexandria
Functional: SCAN
Structure: PBEsol geometry

Values from the calculation:
For the uncorrected energy, the calculation gives -198.98 eV for the cell shown.

Cell: 4.651 4.651 12.699 Å, 90.00 90.00 90.00°
Space group I-42d (No. 122)
Symmetry-distinct sites (fractional):
Zn 0.084 0.250 0.125 [8 per cell]
H 0.000 0.000 0.000 [4 per cell]
Br 0.000 0.000 0.500 [4 per cell]

***

Compound: Ca4AgBr
Source: Alexandria
Functional: SCAN
Structure: PBEsol geometry

Values from the calculation:
For the uncorrected energy, the calculation gives -352.85 eV for the cell shown.

Cell: 9.513 9.513 9.513 Å, 90.00 90.00 90.00°
Space group F-43m (No. 216)
Symmetry-distinct sites (fractional):
Ca 0.124 0.124 0.376 [16 per cell]
Ag 0.250 0.250 0.750 [4 per cell]
Br 0.000 0.000 0.000 [4 per cell]

***

Compound: Al2BrO
Source: Alexandria
Functional: SCAN
Structure: PBEsol geometry

Values from the calculation:
For the uncorrected energy, the calculation gives -177.56 eV for the cell shown.

Cell: 5.028 5.028 12.070 Å, 90.00 90.00 90.00°
Space group I-42d (No. 122)
Symmetry-distinct sites (fractional):
Al 0.059 0.250 0.125 [8 per cell]
Br 0.000 0.000 0.500 [4 per cell]
O 0.000 0.000 0.000 [4 per cell]

***

Compound: Na3MnCr
Source: Alexandria
Functional: SCAN
Structure: PBEsol geometry

Values from the calculation:
For the uncorrected energy, the calculation gives -44.39 eV for the cell shown.

Cell: 5.567 5.567 5.567 Å, 90.00 90.00 90.00°
Space group Pm-3m (No. 221)
Symmetry-distinct sites (fractional):
Na 0.000 0.000 0.500 [3 per cell]
Mn 0.000 0.000 0.000 [1 per cell]
Cr 0.500 0.500 0.500 [1 per cell]

***

Compound: GaBiBIr2
Source: Alexandria
Functional: SCAN
Structure: PBEsol geometry

Values from the calculation:
For the uncorrected energy, the calculation gives -233.01 eV for the cell shown.

Cell: 5.007 5.007 4.424 Å, 90.00 90.00 90.00°
Space group P4/mmm (No. 123)
Symmetry-distinct sites (fractional):
Ga 0.000 0.000 0.000 [1 per cell]
Bi 0.500 0.500 0.500 [1 per cell]
B 0.500 0.500 0.000 [1 per cell]
Ir 0.000 0.500 0.500 [2 per cell]

***

The evaluated magnetization for the records listed, in turn: 0.00; 0.00; 1.78; 0.00; 10.27; 1.53 μB per formula unit.